# PmNdHgIr

A relaxed PmNdHgIr crystal (PBE-GGA, Alexandria via LeMat-Bulk).

Cell: 3.7016 5.1397 5.2006 Å, 90.00 90.00 90.00°
With the nearest neighbours (Å) after each atom.
Space group Pmm2 (No. 25)
Asymmetric unit:
Pm 0.0000 0.0000 0.0000  4 Hg 3.15-3.23, 4 Ir 3.18
Nd 0.0000 0.5000 0.4892  4 Ir 3.04-3.35, 4 Hg 3.17
Hg 0.5000 0.0000 0.5098  4 Pm 3.15-3.23, 4 Nd 3.17, 2 Ir 3.45
Ir 0.5000 0.5000 0.9520  4 Nd 3.04-3.35, 4 Pm 3.18

Energy above the lowest structure with this stoichiometry, meV per atom: 32.0
D(E_F), states/eV/cell: 3.3
Volume, A^3/atom: 24.7
DFT formation energy, meV/atom: -476